[1]
# Ag2WSe

Crystalline Ag2WSe at its relaxed geometry (PBE, Alexandria).

Cell: 9.9220 9.9220 9.9220 Å, 16.88 16.88 16.88°
Site moments in Bohr magnetons follow the coordinates.
Atoms (fractional coordinates):
1 Se 0.2500 0.2500 0.2500  0.15
2 Ag 0.4975 0.4975 0.4975  0.01
3 W 0.7500 0.7500 0.7500  0.06
4 Ag 0.0025 0.0025 0.0025  0.01

Properties
symmetry: R-3m (166)
formation energy (no corrections): 0.522 eV/atom
density: 11.1 g cm⁻³
size of the total moment: 0.32 μB/f.u.
density of states at the Fermi level: 4.421 states/eV/f.u.



[2]
# AgWSe2

Crystalline AgWSe2 at its relaxed geometry (PBE, Alexandria).

Cell: 2.9667 2.9667 10.6356 Å, 90.00 90.00 116.35°
Atoms (fractional coordinates):
1 Se 0.0000 0.0000 0.4440
2 W 0.5000 0.5000 0.2500
3 Ag 0.5000 0.5000 0.7500
4 Se 0.0000 0.0000 0.0560

Properties
symmetry: Cmmm (65)
formation energy (no corrections): 0.403 eV/atom
density: 8.9 g cm⁻³
size of the total moment: 0.00 μB/f.u.
density of states at the Fermi level: 3.017 states/eV/f.u.



[3]
# AgW3Se

Crystalline AgW3Se at its relaxed geometry (PBE, Alexandria).

Cell: 4.6073 4.6073 4.6073 Å, 90.00 90.00 90.00°
Atoms (fractional coordinates):
1 W 0.5000 0.0000 0.0000
2 W 0.0000 0.5000 0.0000
3 Se 0.0000 0.0000 0.0000
4 Ag 0.5000 0.5000 0.5000
5 W 0.0000 0.0000 0.5000

Properties
symmetry: Pm-3m (221)
formation energy (no corrections): 1.701 eV/atom
density: 12.5 g cm⁻³
size of the total moment: 0.00 μB/f.u.
density of states at the Fermi level: 7.479 states/eV/f.u.